(1)
Computed, not measured: crystalline Si3W at its relaxed geometry at the PBE-GGA level of DFT.

Values from the calculation:
As for the distance to the lowest polymorph of the same formula: 385 meV/atom. As for the theoretical density: 7.63 Mg/m³. For the uncorrected formation energy, the calculation gives 0.380 eV per atom.

a = 2.8244 Å, b = 2.8244 Å, c = 7.3108 Å
α = 90.00°, β = 90.00°, γ = 90.00°
Closest atoms and distances in Å follow each position.
Element x y z (fractional)
Si 0.5000 0.5000 0.7579  4 W 2.67, 8 Si 2.75-2.82
Si 0.5000 0.5000 0.2421  4 W 2.67, 8 Si 2.75-2.82
Si 0.0000 0.0000 0.5000  12 Si 2.75-2.82
W 0.0000 0.0000 0.0000  8 Si 2.67, 4 W 2.82

(2)
Computed, not measured: crystalline KTlZnSn at its relaxed geometry at the PBE-GGA level of DFT.

Values from the calculation:
As for the theoretical density: 6.31 Mg/m³. The formation energy is 0.03 eV per atom.

a = 5.4180 Å, b = 5.4180 Å, c = 5.4180 Å
α = 60.00°, β = 60.00°, γ = 60.00°
Closest atoms and distances in Å follow each position.
Element x y z (fractional)
K 0.0000 0.0000 0.0000  4 Tl 3.32, 4 Zn 3.32
Tl 0.2500 0.2500 0.2500  4 Sn 3.32, 4 K 3.32
Zn 0.7500 0.7500 0.7500  4 Sn 3.32, 4 K 3.32
Sn 0.5000 0.5000 0.5000  4 Tl 3.32, 4 Zn 3.32

(3)
Computed, not measured: crystalline P2IrSe at its relaxed geometry at the PBE-GGA level of DFT.

Values from the calculation:
As for the theoretical density: 9.06 Mg/m³. For the uncorrected formation energy, the calculation gives 0.602 eV per atom.

a = 2.9835 Å, b = 4.4784 Å, c = 4.5720 Å
α = 90.00°, β = 90.00°, γ = 90.00°
Closest atoms and distances in Å follow each position.
Element x y z (fractional)
Ir 0.0000 0.5000 0.5000  4 Se 2.69, 4 P 2.73, 2 Ir 2.98
Se 0.5000 0.0000 0.5000  4 Ir 2.69, 4 P 2.73, 2 Se 2.98
P 0.5000 0.5000 0.0000  6 P 2.69-2.98, 4 Ir 2.73
P 0.0000 0.0000 0.0000  6 P 2.69-2.98, 4 Se 2.73

(4)
Computed, not measured: crystalline Li2CeSnSe4 at its relaxed geometry at the PBE-GGA level of DFT.

Values from the calculation:
As for the theoretical density: 5.03 Mg/m³. For the uncorrected formation energy, the calculation gives -1.178 eV per atom.

a = 4.1419 Å, b = 6.8472 Å, c = 7.3133 Å
α = 69.49°, β = 90.00°, γ = 90.00°
Closest atoms and distances in Å follow each position.
Element x y z (fractional)
Sn 0.5000 0.5000 0.0000  6 Se 2.95-2.96
Se 0.0000 0.2420 0.2647  3 Li 2.83-2.96, 1 Ce 2.87, 2 Sn 2.96
Se 0.5000 0.2434 0.7497  3 Li 2.87-2.88, 2 Ce 2.91, 1 Sn 2.95
Se 0.5000 0.7567 0.2503  3 Li 2.87-2.88, 2 Ce 2.91, 1 Sn 2.95
Se 0.0000 0.7580 0.7353  3 Li 2.83-2.96, 1 Ce 2.87, 2 Sn 2.96
Ce 0.0000 0.5000 0.5000  6 Se 2.87-2.91
Li 0.5000 0.0000 0.5000  6 Se 2.83-2.87
Li 0.0000 0.0000 0.0000  6 Se 2.88-2.96

(5)
Computed, not measured: crystalline PmSb at its relaxed geometry at the PBE-GGA level of DFT.

Values from the calculation:
As for the distance to the lowest polymorph of the same formula: 622 meV/atom. As for the theoretical density: 4.95 Mg/m³. For the uncorrected formation energy, the calculation gives -0.566 eV per atom.

a = 5.3284 Å, b = 5.3284 Å, c = 7.9034 Å
α = 70.30°, β = 70.30°, γ = 60.00°
Closest atoms and distances in Å follow each position.
Element x y z (fractional)
Pm 0.1018 0.1018 0.6946  4 Sb 3.09-3.10
Pm 0.8982 0.8982 0.3054  4 Sb 3.09-3.10
Sb 0.7564 0.7564 0.7309  4 Pm 3.09-3.10
Sb 0.2436 0.2436 0.2691  4 Pm 3.09-3.10

(6)
Computed, not measured: crystalline BaSiSn2Pt5 at its relaxed geometry at the PBE-GGA level of DFT.

Values from the calculation:
As for the theoretical density: 11.74 Mg/m³. For the uncorrected formation energy, the calculation gives -0.487 eV per atom.

a = 4.7648 Å, b = 5.8151 Å, c = 7.9787 Å
α = 111.37°, β = 107.37°, γ = 90.00°
Closest atoms and distances in Å follow each position.
Element x y z (fractional)
Pt 0.3568 0.6121 0.7135  1 Si 2.47, 1 Sn 2.69
Pt 0.3568 0.1014 0.7135  1 Si 2.47, 1 Sn 2.69
Pt 0.6432 0.3879 0.2865  1 Si 2.47, 1 Sn 2.69
Pt 0.6432 0.8986 0.2865  1 Si 2.47, 1 Sn 2.69
Pt 0.0000 0.0000 0.0000  2 Si 2.38
Ba 0.0000 0.5000 0.0000  2 Pt 2.91
Sn 0.8026 0.8026 0.6052  7 Pt 2.69-2.88
Sn 0.1974 0.1974 0.3948  7 Pt 2.69-2.88
Si 0.5000 0.0000 0.0000  6 Pt 2.38-2.47